No. 1
Density functional theory data (PBE) for a relaxed ZrMnRe2 crystal.

a = 5.1232 Å, b = 5.1232 Å, c = 4.6192 Å
α = 70.81°, β = 70.81°, γ = 33.41°
Last column: nearest neighbours and their distance in Å.
Sites, in units of the cell vectors:
Mn1 0.2500 0.2500 0.2500  4 Re 2.54, 4 Zr 2.74
Re1 0.9731 0.9731 0.0376  2 Mn 2.54, 2 Re 2.65
Re2 0.5269 0.5269 0.4624  2 Mn 2.54, 2 Re 2.65
Zr1 0.7500 0.7500 0.7500  4 Mn 2.74, 6 Re 2.92-2.97, 2 Zr 2.95

**E above lowest polymorph**: 0.30 eV per formula unit


No. 2
Density functional theory data (PBE) for a relaxed ZrMnRe2 crystal.

a = 2.7712 Å, b = 2.7712 Å, c = 8.0731 Å
α = 90.00°, β = 90.00°, γ = 90.00°
Last column: nearest neighbours and their distance in Å.
Sites, in units of the cell vectors:
Mn1 0.5000 0.5000 0.7500  8 Re 2.58, 4 Mn 2.77
Re1 0.0000 0.0000 0.9584  4 Mn 2.58, 4 Re 2.77
Re2 0.0000 0.0000 0.5416  4 Mn 2.58, 4 Re 2.77
Zr1 0.5000 0.5000 0.2500  4 Zr 2.77, 8 Re 3.06

**E above lowest polymorph**: 0.42 eV per formula unit


No. 3
Density functional theory data (PBE) for a relaxed ZrMn4Re crystal.

a = 4.8105 Å, b = 4.8105 Å, c = 4.8105 Å
α = 60.00°, β = 60.00°, γ = 60.00°
Last column: nearest neighbours and their distance in Å.
Sites, in units of the cell vectors:
Mn1 0.1204 0.6265 0.6265  6 Mn 2.38-2.43
Mn2 0.6265 0.6265 0.6265  6 Mn 2.38-2.43
Mn3 0.6265 0.1204 0.6265  6 Mn 2.38-2.43
Mn4 0.6265 0.6265 0.1204  6 Mn 2.38-2.43
Re1 0.2500 0.2500 0.2500  12 Mn 2.82, 4 Zr 2.95
Zr1 0.0000 0.0000 0.0000  12 Mn 2.82, 4 Re 2.95


No. 4
Density functional theory data (PBE) for a relaxed ZrMnRe2 crystal.

a = 4.4848 Å, b = 3.7893 Å, c = 3.7893 Å
α = 90.00°, β = 90.00°, γ = 90.00°
Last column: nearest neighbours and their distance in Å.
Sites, in units of the cell vectors:
Mn1 0.5000 0.0000 0.5000  4 Zr 2.68, 8 Re 2.94
Re1 0.0000 0.0000 0.0000  4 Re 2.68, 4 Zr 2.94, 4 Mn 2.94
Re2 0.0000 0.5000 0.5000  4 Re 2.68, 4 Zr 2.94, 4 Mn 2.94
Zr1 0.5000 0.5000 0.0000  4 Mn 2.68, 8 Re 2.94

**E above lowest polymorph**: 0.73 eV per formula unit


No. 5
Density functional theory data (PBE) for a relaxed ZrMnRe2 crystal.

a = 9.4777 Å, b = 9.4777 Å, c = 9.4777 Å
α = 16.85°, β = 16.85°, γ = 16.85°
Last column: nearest neighbours and their distance in Å.
Sites, in units of the cell vectors:
Mn1 0.7500 0.7500 0.7500  6 Re 2.59, 6 Mn 2.78
Re1 0.0110 0.0110 0.0110  3 Mn 2.59, 6 Re 2.78
Re2 0.4890 0.4890 0.4890  3 Mn 2.59, 6 Re 2.78
Zr1 0.2500 0.2500 0.2500  6 Zr 2.78, 6 Re 3.09

**E above lowest polymorph**: 0.97 eV per formula unit


No. 6
Density functional theory data (PBE) for a relaxed ZrMn2Re2 crystal.

a = 7.3233 Å, b = 7.3233 Å, c = 2.7597 Å
α = 90.00°, β = 90.00°, γ = 90.00°
Last column: nearest neighbours and their distance in Å.
Sites, in units of the cell vectors:
Re1 0.1560 0.6560 0.5000  6 Mn 2.54-2.56, 2 Re 2.76
Re2 0.6560 0.8440 0.5000  6 Mn 2.54-2.56, 2 Re 2.76
Re3 0.8440 0.3440 0.5000  6 Mn 2.54-2.56, 2 Re 2.76
Re4 0.3440 0.1560 0.5000  6 Mn 2.54-2.56, 2 Re 2.76
Mn1 0.3619 0.8619 0.0000  6 Re 2.54-2.56, 2 Mn 2.76, 2 Zr 2.84
Mn2 0.8619 0.6381 0.0000  6 Re 2.54-2.56, 2 Mn 2.76, 2 Zr 2.84
Mn3 0.6381 0.1381 0.0000  6 Re 2.54-2.56, 2 Mn 2.76, 2 Zr 2.84
Mn4 0.1381 0.3619 0.0000  6 Re 2.54-2.56, 2 Mn 2.76, 2 Zr 2.84
Zr1 0.0000 0.0000 0.0000  2 Zr 2.76, 4 Mn 2.84
Zr2 0.5000 0.5000 0.0000  2 Zr 2.76, 4 Mn 2.84

**E above lowest polymorph**: 0.00 eV per formula unit


No. 7
Density functional theory data (PBE) for a relaxed Zr2MnRe2 crystal.

a = 6.2945 Å, b = 6.2945 Å, c = 4.5282 Å
α = 90.00°, β = 90.00°, γ = 90.00°
Last column: nearest neighbours and their distance in Å.
Sites, in units of the cell vectors:
Re1 0.3572 0.8572 0.0000  2 Mn 2.42, 1 Re 2.54
Re2 0.8572 0.6428 0.0000  2 Mn 2.42, 1 Re 2.54
Re3 0.6428 0.1428 0.0000  2 Mn 2.42, 1 Re 2.54
Re4 0.1428 0.3572 0.0000  2 Mn 2.42, 1 Re 2.54
Mn1 0.0000 0.0000 0.0000  4 Re 2.42
Mn2 0.5000 0.5000 0.0000  4 Re 2.42
Zr1 0.1797 0.6797 0.5000  6 Re 2.76-3.05
Zr2 0.6797 0.8203 0.5000  6 Re 2.76-3.05
Zr3 0.8203 0.3203 0.5000  6 Re 2.76-3.05
Zr4 0.3203 0.1797 0.5000  6 Re 2.76-3.05


No. 8
Density functional theory data (PBE) for a relaxed ZrMnRe2 crystal.

a = 4.4619 Å, b = 4.4619 Å, c = 4.4619 Å
α = 60.00°, β = 60.00°, γ = 60.00°
Last column: nearest neighbours and their distance in Å.
Sites, in units of the cell vectors:
Mn1 0.5000 0.5000 0.5000  4 Zr 2.73, 4 Re 2.73
Re1 0.0000 0.0000 0.0000  4 Re 2.73, 4 Zr 2.73
Re2 0.2500 0.2500 0.2500  4 Mn 2.73, 4 Re 2.73
Zr1 0.7500 0.7500 0.7500  4 Re 2.73, 4 Mn 2.73

**E above lowest polymorph**: 0.00 eV per formula unit


No. 9
Density functional theory data (PBE) for a relaxed ZrMn8Re3 crystal.

a = 4.7179 Å, b = 4.7179 Å, c = 7.8018 Å
α = 90.00°, β = 90.00°, γ = 120.00°
Last column: nearest neighbours and their distance in Å.
Sites, in units of the cell vectors:
Zr1 0.0000 0.0000 0.5632  12 Mn 2.76-2.81, 4 Re 2.95-2.96
Mn1 0.3333 0.6667 0.5034  6 Mn 2.42-2.45
Mn2 0.3333 0.6667 0.0029  6 Mn 2.35-2.39
Mn3 0.5063 0.0126 0.7554  6 Mn 2.27-2.45
Mn4 0.5063 0.4937 0.7554  6 Mn 2.27-2.45
Mn5 0.9874 0.4937 0.7554  6 Mn 2.27-2.45
Mn6 0.1622 0.3244 0.2455  6 Mn 2.30-2.45
Mn7 0.1622 0.8378 0.2455  6 Mn 2.30-2.45
Mn8 0.6756 0.8378 0.2455  6 Mn 2.30-2.45
Re1 0.6667 0.3333 0.4196  12 Mn 2.72-2.93, 1 Re 2.76, 3 Zr 2.95
Re2 0.6667 0.3333 0.0662  12 Mn 2.74-2.77, 4 Re 2.76-2.89
Re3 0.0000 0.0000 0.9423  12 Mn 2.71-2.77, 3 Re 2.89, 1 Zr 2.96


No. 10
Density functional theory data (PBE) for a relaxed ZrMnRe2 crystal.

a = 4.4181 Å, b = 4.4181 Å, c = 3.2596 Å
α = 90.00°, β = 90.00°, γ = 90.00°
Last column: nearest neighbours and their distance in Å.
Sites, in units of the cell vectors:
Mn1 0.0000 0.5000 0.5000  8 Re 2.75
Re1 0.0000 0.0000 0.0000  4 Zr 2.75, 4 Mn 2.75
Re2 0.5000 0.5000 0.0000  4 Zr 2.75, 4 Mn 2.75
Zr1 0.5000 0.0000 0.5000  8 Re 2.75

**E above lowest polymorph**: 0.39 eV per formula unit


No. 11
Density functional theory data (PBE) for a relaxed ZrMn3Re crystal.

a = 4.5493 Å, b = 4.5493 Å, c = 4.5493 Å
α = 90.00°, β = 90.00°, γ = 90.00°
Last column: nearest neighbours and their distance in Å.
Sites, in units of the cell vectors:
Re1 0.0000 0.0000 0.0000  6 Mn 2.27
Mn1 0.0000 0.5000 0.0000  2 Re 2.27
Mn2 0.0000 0.0000 0.5000  2 Re 2.27
Mn3 0.5000 0.0000 0.0000  2 Re 2.27
Zr1 0.5000 0.5000 0.5000  12 Mn 3.22

**E above lowest polymorph**: 0.00 eV per formula unit


No. 12
Density functional theory data (PBE) for a relaxed ZrMnRe2 crystal.

a = 2.7373 Å, b = 2.7373 Å, c = 8.7814 Å
α = 90.00°, β = 90.00°, γ = 108.27°
Last column: nearest neighbours and their distance in Å.
Sites, in units of the cell vectors:
Mn1 0.5000 0.5000 0.7500  4 Re 2.55, 4 Mn 2.74
Re1 0.0000 0.0000 0.9753  2 Mn 2.55, 4 Re 2.74
Re2 0.0000 0.0000 0.5247  2 Mn 2.55, 4 Re 2.74
Zr1 0.5000 0.5000 0.2500  4 Zr 2.74, 4 Re 2.90

**E above lowest polymorph**: 0.32 eV per formula unit


No. 13
Density functional theory data (PBE) for a relaxed Zr4MnRe crystal.

a = 5.5819 Å, b = 5.5819 Å, c = 5.5819 Å
α = 60.00°, β = 60.00°, γ = 60.00°
Last column: nearest neighbours and their distance in Å.
Sites, in units of the cell vectors:
Zr1 0.8781 0.3740 0.3740  6 Zr 2.77-2.81
Zr2 0.3740 0.3740 0.8781  6 Zr 2.77-2.81
Zr3 0.3740 0.8781 0.3740  6 Zr 2.77-2.81
Zr4 0.3740 0.3740 0.3740  6 Zr 2.77-2.81
Mn1 0.7500 0.7500 0.7500  12 Zr 3.28, 4 Re 3.42
Re1 0.0000 0.0000 0.0000  12 Zr 3.27, 4 Mn 3.42


Number 1: E -10.577 eV per atom, ΔE_f 76 meV per atom. Number 2: E -10.546 eV per atom, ΔE_f 107 meV per atom. Number 3: E -9.677 eV per atom, ΔE_f -65 meV per atom. Number 4: E -10.468 eV per atom, ΔE_f 185 meV per atom. Number 5: E -10.407 eV per atom, ΔE_f 246 meV per atom. Number 6: E -10.283 eV per atom, ΔE_f 74 meV per atom. Number 7: E -10.167 eV per atom, ΔE_f 66 meV per atom. Number 8: E -10.651 eV per atom, ΔE_f 2 meV per atom. Number 9: E -10.036 eV per atom, ΔE_f -99 meV per atom. Number 10: E -10.555 eV per atom, ΔE_f 99 meV per atom. Number 11: E -8.724 eV per atom, ΔE_f 977 meV per atom. Number 12: E -10.572 eV per atom, ΔE_f 81 meV per atom. Number 13: E -8.588 eV per atom, ΔE_f 714 meV per atom.